# PmErMoO6

A relaxed structure of PmErMoO6 (PBE with a Hubbard U, Alexandria).

Properties
Total moment ... 0.00 Bohr magnetons per cell
Density ... 6.46 g/cm³
Raw total energy ... -7.81 eV per atom

```
data_PmErMoO6
_chemical_formula_sum 'Pm1 Er1 Mo1 O6'
_cell_length_a 5.5043
_cell_length_b 5.5043
_cell_length_c 4.9425
_cell_angle_alpha 90.00
_cell_angle_beta 90.00
_cell_angle_gamma 120.00
_space_group_name_H-M_alt 'P 3 1 2'
_space_group_IT_number 149
_space_group_name_Hall 'P 3 2'
loop_
_atom_site_label
_atom_site_type_symbol
_atom_site_fract_x
_atom_site_fract_y
_atom_site_fract_z
_atom_site_occupancy
Pm1 Pm 0.0000 0.0000 0.0000 1
Er1 Er 0.3333 0.6667 0.5000 1
Mo1 Mo 0.6667 0.3333 0.5000 1
O1 O 0.3734 0.0372 0.7213 1
```